Below is SrAcNd2 after structural relaxation, with properties calculated at the GGA-PBE level.

Cell: 5.4489 5.4489 5.4917 Å, 90.00 90.00 90.00°
Last column: nearest neighbours and their distance in Å.
Space group P4/mmm (No. 123)
Unique sites:
Sr (0.0000, 0.0000, 0.0000) x1  4 Ac 3.85, 8 Nd 3.87
Ac (0.5000, 0.5000, 0.0000) x1  4 Sr 3.85, 8 Nd 3.87
Nd (0.0000, 0.5000, 0.5000) x2  4 Nd 3.85, 4 Ac 3.87, 4 Sr 3.87

**V**: 40.76 Å³/atom
**Energy of formation**: 0.131 eV per atom